Here is a geometry-optimized Hf2Al6Ni structure from Alexandria via LeMat-Bulk. Energies are from GGA-PBE.

```
Hf2Al6Ni
1.0
-4.4626 -1.9041 -2.7539
3.3320 -2.5991 -3.5928
1.6193 -5.2120 0.9892
Al Ni Hf
6 1 2
Direct
0.3115 0.8277 0.3454
0.3115 0.3454 0.8277
0.6893 0.1724 0.1724
0.6885 0.6546 0.1723
0.3107 0.8276 0.8276
0.6885 0.1723 0.6546
0.0000 0.0000 0.0000
0.1252 0.3335 0.3335
0.8748 0.6665 0.6665
```

Output
* SG: P-3m1 (164)
* M_tot: 0.0 μB/cell
* formation energy from the elements: -395 meV per atom
* electronic total energy: -5.74 eV/atom